Entry 1:
Density functional theory data (PBE-GGA) for a relaxed structure of Nd8Se3S3N.

Cell lengths 8.2718, 8.2718, 8.2718 Å; angles 59.08, 59.08, 59.08 degrees
With the nearest neighbours (Å) after each atom.
Positions (direct):
Nd  0.2431  0.2431  0.2431  3 S 2.82, 3 Se 2.99
Nd  0.2691  0.7219  0.7219  1 N 2.58, 2 S 2.87
Nd  0.2781  0.2781  0.7309  1 N 2.58, 2 S 2.87
Nd  0.2781  0.7309  0.2781  1 N 2.58, 2 S 2.87
Nd  0.7219  0.2691  0.7219  1 N 2.58, 2 S 2.87
Nd  0.7219  0.7219  0.2691  1 N 2.58, 2 S 2.87
Nd  0.7309  0.2781  0.2781  1 N 2.58, 2 S 2.87
Nd  0.7569  0.7569  0.7569  3 S 2.82, 3 Se 2.99
Se  0.0000  0.5000  0.5000  6 Nd 2.98-2.99
Se  0.5000  0.0000  0.5000  6 Nd 2.98-2.99
Se  0.5000  0.5000  0.0000  6 Nd 2.98-2.99
S  0.0000  0.0000  0.5000  6 Nd 2.82-2.87
S  0.0000  0.5000  0.0000  6 Nd 2.82-2.87
S  0.5000  0.0000  0.0000  6 Nd 2.82-2.87
N  0.5000  0.5000  0.5000  6 Nd 2.58

Properties
- DOS(E_F) (states/eV per atom) = 0.546
- magnetization (μB/atom) = 0.0198
- uncorrected energy (eV per atom) = -6.33
- symmetry = R-3m (166)

---

Entry 2:
Density functional theory data (PBE-GGA) for a relaxed structure of La3BiN.

Cell lengths 6.7227, 6.7227, 6.4799 Å; angles 101.68, 101.68, 87.26 degrees
With the nearest neighbours (Å) after each atom.
Positions (direct):
La  0.1019  0.2764  0.8345  2 N 2.51-2.55
La  0.2307  0.7693  0.7500  2 N 2.68
La  0.2764  0.1019  0.3345  2 N 2.51-2.55
La  0.7236  0.8981  0.6655  2 N 2.51-2.55
La  0.7693  0.2307  0.2500  2 N 2.68
La  0.8981  0.7236  0.1655  2 N 2.51-2.55
Bi  0.3979  0.6021  0.2500  9 La 3.38-3.67, 2 Bi 3.75
Bi  0.6021  0.3979  0.7500  9 La 3.38-3.67, 2 Bi 3.75
N  0.0000  0.0000  0.0000  6 La 2.51-2.68
N  0.0000  0.0000  0.5000  6 La 2.51-2.68

Properties
- DOS(E_F) (states/eV per atom) = 0.548
- magnetization (μB/atom) = 0.0000
- uncorrected energy (eV per atom) = -6.31
- symmetry = C2/c (15)

---

Entry 3:
Density functional theory data (PBE-GGA) for a relaxed structure of U2PbSe4.

Cell lengths 7.0125, 7.0125, 14.4869 Å; angles 90.00, 90.00, 146.09 degrees
With the nearest neighbours (Å) after each atom.
Positions (direct):
U  0.1353  0.8647  0.5654  6 Se 2.87-2.89
U  0.1353  0.8647  0.9346  6 Se 2.87-2.89
U  0.8647  0.1353  0.0654  6 Se 2.87-2.89
U  0.8647  0.1353  0.4346  6 Se 2.87-2.89
Pb  0.3934  0.6066  0.7500  6 Se 2.99-3.24
Pb  0.6066  0.3934  0.2500  6 Se 2.99-3.24
Se  0.0563  0.9437  0.7500  2 U 2.88, 2 Pb 2.99
Se  0.2245  0.7755  0.1157  3 U 2.87-2.88
Se  0.2245  0.7755  0.3843  3 U 2.87-2.88
Se  0.5000  0.5000  0.0000  4 U 2.89
Se  0.5000  0.5000  0.5000  4 U 2.89
Se  0.7755  0.2245  0.6157  3 U 2.87-2.88
Se  0.7755  0.2245  0.8843  3 U 2.87-2.88
Se  0.9437  0.0563  0.2500  2 U 2.88, 2 Pb 2.99

Properties
- DOS(E_F) (states/eV per atom) = 1.502
- magnetization (μB/atom) = 0.8390
- uncorrected energy (eV per atom) = -6.64
- symmetry = Cmcm (63)